[1]
! Hf2TlInPd (GGA-PBEsol, optimized geometry); values from VASP
! Formation energy, meV/atom: 1433.7
! N(E_F), states/eV/cell: 5.4
! Raw total energy, eV per atom: -5.0819
&SYSTEM
  ibrav = 0, nat = 5, ntyp = 4
/
ATOMIC_SPECIES
Pd 106.42 Pd.upf
Tl 204.38 Tl.upf
In 114.82 In.upf
Hf 178.49 Hf.upf
ATOMIC_POSITIONS angstrom
Pd 0.605 -4.295 -1.115
Tl 0.000 0.000 0.000
In -1.744 -1.819 0.290
Hf 1.820 -1.587 0.991
Hf 0.529 -0.889 -2.396
CELL_PARAMETERS angstrom
-3.487 -3.638 0.580
1.058 -1.778 -4.792
3.640 -3.173 1.981

***

[2]
! HfZr2InPd (GGA-PBEsol, optimized geometry); values from VASP
! Formation energy, meV/atom: 262.0
! N(E_F), states/eV/cell: 4.6
! Raw total energy, eV per atom: -7.2628
&SYSTEM
  ibrav = 0, nat = 5, ntyp = 4
/
ATOMIC_SPECIES
Zr 91.22 Zr.upf
In 114.82 In.upf
Hf 178.49 Hf.upf
Pd 106.42 Pd.upf
ATOMIC_POSITIONS angstrom
Zr 0.301 -1.288 -2.115
Zr -2.293 -0.949 0.251
In -2.917 -0.342 -3.150
Hf -0.925 1.895 -1.286
Pd 0.000 0.000 0.000
CELL_PARAMETERS angstrom
-1.850 3.791 -2.572
0.603 -2.576 -4.230
-4.587 -1.898 0.503

***

[3]
! Rb2Hf2In (GGA-PBEsol, optimized geometry); values from VASP
! Formation energy, meV/atom: 784.6
! N(E_F), states/eV/cell: 5.4
! Raw total energy, eV per atom: -4.4233
&SYSTEM
  ibrav = 0, nat = 5, ntyp = 3
/
ATOMIC_SPECIES
Rb 85.47 Rb.upf
Hf 178.49 Hf.upf
In 114.82 In.upf
ATOMIC_POSITIONS angstrom
Rb 0.000 0.000 9.909
Hf 0.000 1.932 6.354
In 0.000 0.000 0.000
Rb 1.932 1.932 2.798
Hf 1.932 0.000 6.354
CELL_PARAMETERS angstrom
3.863 0.000 0.000
0.000 3.863 0.000
-1.932 -1.932 12.707

***

[4]
! RbHfIn2Re (GGA-PBEsol, optimized geometry); values from VASP
! Formation energy, meV/atom: 1631.5
! N(E_F), states/eV/cell: 6.2
! Raw total energy, eV per atom: -4.5337
&SYSTEM
  ibrav = 0, nat = 5, ntyp = 4
/
ATOMIC_SPECIES
Hf 178.49 Hf.upf
Rb 85.47 Rb.upf
Re 186.21 Re.upf
In 114.82 In.upf
ATOMIC_POSITIONS angstrom
Hf -4.291 1.011 -0.985
Rb -1.500 1.719 1.300
Re 0.000 0.000 0.000
In -1.968 -1.697 -0.026
In -0.823 0.989 -2.258
CELL_PARAMETERS angstrom
-1.645 1.978 -4.516
-3.936 -3.395 -0.053
-3.000 3.438 2.599

***

[5]
! RbHfInTc2 (GGA-PBEsol, optimized geometry); values from VASP
! Formation energy, meV/atom: 2294.1
! N(E_F), states/eV/cell: 6.1
! Raw total energy, eV per atom: -5.1147
&SYSTEM
  ibrav = 0, nat = 5, ntyp = 4
/
ATOMIC_SPECIES
In 114.82 In.upf
Hf 178.49 Hf.upf
Tc 98.00 Tc.upf
Rb 85.47 Rb.upf
ATOMIC_POSITIONS angstrom
In 0.000 0.000 0.000
Hf 2.502 2.502 2.629
Tc 0.000 2.502 0.000
Tc 2.502 0.000 0.000
Rb 0.000 0.000 2.629
CELL_PARAMETERS angstrom
5.005 0.000 0.000
0.000 5.005 0.000
0.000 0.000 5.259

***

[6]
! Sr2HfInRe (GGA-PBEsol, optimized geometry); values from VASP
! Formation energy, meV/atom: 1315.4
! N(E_F), states/eV/cell: 6.2
! Raw total energy, eV per atom: -4.7843
&SYSTEM
  ibrav = 0, nat = 5, ntyp = 4
/
ATOMIC_SPECIES
In 114.82 In.upf
Hf 178.49 Hf.upf
Sr 87.62 Sr.upf
Re 186.21 Re.upf
ATOMIC_POSITIONS angstrom
In -2.144 0.298 -1.487
Hf -4.032 -2.181 0.738
Sr -0.368 -2.682 -0.007
Re 0.000 0.000 0.000
Sr -1.519 0.203 2.232
CELL_PARAMETERS angstrom
-4.289 0.597 -2.973
-0.736 -5.365 -0.014
-3.038 0.405 4.464